1.
Density functional theory data (PBE-GGA) for crystalline PrZrSi2 at its relaxed geometry.

Computed properties:
space group	R-3m
electronic total energy	-6.60	eV/atom
formation energy from raw total energies	-557	meV/atom

Unit cell a=4.0014 b=4.0014 c=7.1290 alpha=73.70 beta=73.70 gamma=60.00
Fractional positions:
Pr1 0.5000 0.5000 0.5000
Si1 0.2609 0.2609 0.2173
Si2 0.7391 0.7391 0.7827
Zr1 0.0000 0.0000 0.0000

2.
Density functional theory data (PBE-GGA) for crystalline Ba2NaHgAu at its relaxed geometry.

Computed properties:
space group	P4/mmm
electronic total energy	-2.07	eV/atom
energy relative to the lowest polymorph listed for this composition	0.774	eV per formula unit
formation enthalpy at 0 K	-0.32	eV per atom

Unit cell a=6.3318 b=6.3318 c=5.4913 alpha=90.00 beta=90.00 gamma=90.00
Fractional positions:
Na1 0.0000 0.0000 0.5000
Au1 0.0000 0.0000 0.0000
Hg1 0.5000 0.5000 0.5000
Ba1 0.0000 0.5000 0.0000
Ba2 0.5000 0.0000 0.0000

3.
Density functional theory data (PBE-GGA) for crystalline Li5Tl2Sn2 at its relaxed geometry.

Computed properties:
space group	Ima2
electronic total energy	-2.63	eV/atom
formation enthalpy at 0 K	-0.15	eV per atom

Unit cell a=7.2612 b=7.0551 c=9.5779 alpha=111.61 beta=112.28 gamma=90.00
Fractional positions:
Li1 0.1476 0.6379 0.7210
Li2 0.8524 0.9169 0.2790
Li3 0.0734 0.1379 0.7210
Li4 0.9266 0.4169 0.2790
Li5 0.4466 0.9378 0.3183
Li6 0.5534 0.6195 0.6817
Li7 0.3717 0.4378 0.3183
Li8 0.6283 0.1195 0.6817
Li9 0.2178 0.8101 0.5000
Li10 0.7822 0.3101 0.5000
Tl1 0.0000 0.0335 0.0000
Tl2 0.5000 0.5335 0.0000
Tl3 0.2295 0.2403 0.5000
Tl4 0.7705 0.7403 0.5000
Sn1 0.1018 0.6539 0.1678
Sn2 0.8982 0.4861 0.8322
Sn3 0.5660 0.1539 0.1678
Sn4 0.4340 0.9861 0.8322

4.
Density functional theory data (PBE-GGA) for crystalline Cs4La3HoO8 at its relaxed geometry.

Computed properties:
space group	R-3m
electronic total energy	-6.48	eV/atom
formation energy from raw total energies	-2581	meV/atom

Unit cell a=7.4466 b=8.1587 c=7.4467 alpha=117.16 beta=120.00 gamma=90.00
Fractional positions:
Cs1 0.5000 0.0000 0.0000
Cs2 0.5000 0.0000 0.5000
Cs3 0.0000 0.0000 0.0000
Cs4 0.0000 0.0000 0.5000
La1 0.5000 0.5000 0.0000
La2 0.5000 0.5000 0.5000
La3 0.0000 0.5000 0.5000
Ho1 0.0000 0.5000 0.0000
O1 0.2158 0.6676 0.9518
O2 0.2158 0.6675 0.4315
O3 0.2770 0.3312 0.5541
O4 0.7360 0.6676 0.9518
O5 0.2640 0.3324 0.0482
O6 0.7230 0.6688 0.4459
O7 0.7842 0.3325 0.5685
O8 0.7842 0.3324 0.0482

5.
Density functional theory data (PBE-GGA) for crystalline Ce5PuIr6 at its relaxed geometry.

Computed properties:
space group	C2/m
electronic total energy	-8.74	eV/atom
formation enthalpy at 0 K	-0.64	eV per atom

Unit cell a=6.9697 b=6.9778 c=6.9713 alpha=59.97 beta=80.40 gamma=70.53
Fractional positions:
Ce1 0.5000 0.1672 0.6655
Ce2 0.0000 0.3336 0.3327
Ce3 0.5000 0.5000 0.0000
Ce4 0.0000 0.6664 0.6673
Ce5 0.5000 0.8328 0.3345
Pu1 0.0000 0.0000 0.0000
Ir1 0.7529 0.0822 0.3296
Ir2 0.2471 0.5881 0.3296
Ir3 0.2469 0.2468 0.0000
Ir4 0.7531 0.7532 0.0000
Ir5 0.7529 0.4119 0.6704
Ir6 0.2471 0.9178 0.6704

6.
Density functional theory data (PBE-GGA) for crystalline LaMg2Cd2Hg2 at its relaxed geometry.

Computed properties:
space group	R-3m
electronic total energy	-1.77	eV/atom
formation enthalpy at 0 K	-0.27	eV per atom

Unit cell a=4.8645 b=4.8645 c=8.8474 alpha=74.04 beta=74.04 gamma=60.00
Fractional positions:
La1 0.0000 0.0000 0.0000
Mg1 0.1406 0.1406 0.5782
Mg2 0.8594 0.8594 0.4218
Cd1 0.5652 0.5652 0.3044
Cd2 0.4348 0.4348 0.6956
Hg1 0.7355 0.7355 0.7936
Hg2 0.2645 0.2645 0.2064

7.
Density functional theory data (PBE-GGA) for crystalline Ce4GeS2Cl at its relaxed geometry.

Computed properties:
space group	P2/m
electronic total energy	-6.40	eV/atom
formation energy from raw total energies	-1594	meV/atom

Unit cell a=4.0973 b=7.1189 c=7.0262 alpha=70.44 beta=90.00 gamma=90.00
Fractional positions:
Ce1 0.0000 0.7628 0.7462
Ce2 0.0000 0.2372 0.2538
Ce3 0.5000 0.7643 0.2441
Ce4 0.5000 0.2357 0.7559
Ge1 0.5000 0.5000 0.0000
S1 0.0000 0.0000 0.0000
S2 0.5000 0.0000 0.5000
Cl1 0.0000 0.5000 0.5000

8.
Density functional theory data (PBE-GGA) for crystalline NbFeRe2C at its relaxed geometry.

Computed properties:
space group	P4/mmm
electronic total energy	-10.27	eV/atom
formation enthalpy at 0 K	0.26	eV per atom

Unit cell a=4.0196 b=4.2349 c=4.0196 alpha=90.00 beta=90.00 gamma=90.00
Fractional positions:
C1 0.0000 0.0000 0.0000
Re1 0.0000 0.0000 0.5000
Re2 0.5000 0.0000 0.0000
Nb1 0.0000 0.5000 0.0000
Fe1 0.5000 0.5000 0.5000

9.
Density functional theory data (PBE-GGA) for crystalline SmGe4Ir6 at its relaxed geometry.

Computed properties:
space group	P-6m2
electronic total energy	-7.44	eV/atom
formation enthalpy at 0 K	-0.50	eV per atom

Unit cell a=3.9320 b=7.2278 c=7.2278 alpha=120.00 beta=90.00 gamma=90.00
Fractional positions:
Sm1 0.0000 0.0000 0.0000
Ge1 0.5000 0.8050 0.6101
Ge2 0.5000 0.3899 0.1950
Ge3 0.5000 0.8050 0.1950
Ge4 0.0000 0.3333 0.6667
Ir1 0.0000 0.5339 0.0679
Ir2 0.5000 0.6010 0.8005
Ir3 0.0000 0.5339 0.4661
Ir4 0.0000 0.9321 0.4661
Ir5 0.5000 0.1995 0.8005
Ir6 0.5000 0.1995 0.3990

10.
Density functional theory data (PBE-GGA) for crystalline NdSm2Tm5Th at its relaxed geometry.

Computed properties:
space group	I4/mcm
electronic total energy	-4.60	eV/atom
formation enthalpy at 0 K	0.29	eV per atom

Unit cell a=8.6769 b=8.6769 c=9.7767 alpha=116.34 beta=116.34 gamma=90.00
Fractional positions:
Nd1 0.2500 0.7500 0.5000
Nd2 0.7500 0.2500 0.5000
Sm1 0.1155 0.3845 0.0000
Sm2 0.6155 0.1155 0.0000
Sm3 0.3845 0.8845 0.0000
Sm4 0.8845 0.6155 0.0000
Tm1 0.9261 0.4261 0.2751
Tm2 0.6510 0.1510 0.7249
Tm3 0.0739 0.5739 0.7249
Tm4 0.1510 0.0739 0.7249
Tm5 0.5739 0.6510 0.7249
Tm6 0.8490 0.9261 0.2751
Tm7 0.4261 0.3490 0.2751
Tm8 0.3490 0.8490 0.2751
Tm9 0.5000 0.5000 0.0000
Tm10 0.0000 0.0000 0.0000
Th1 0.2500 0.2500 0.5000
Th2 0.7500 0.7500 0.5000

11.
Density functional theory data (PBE-GGA) for crystalline Th2TcI2 at its relaxed geometry.

Computed properties:
space group	C2/m
electronic total energy	-6.36	eV/atom
formation energy from raw total energies	-698	meV/atom

Unit cell a=4.2028 b=7.2829 c=12.7551 alpha=110.80 beta=99.48 gamma=90.00
Fractional positions:
Th1 0.8150 0.6642 0.6300
Th2 0.1850 0.3358 0.3700
Th3 0.6852 0.8364 0.3704
Th4 0.3148 0.1636 0.6296
Tc1 0.7499 0.2500 0.4997
Tc2 0.2501 0.7500 0.5003
I1 0.9135 0.1196 0.8271
I2 0.0865 0.8804 0.1729
I3 0.5865 0.3810 0.1730
I4 0.4135 0.6190 0.8270

12.
Density functional theory data (PBE-GGA) for crystalline Sc3Ir4 at its relaxed geometry.

Computed properties:
space group	I4/mmm
electronic total energy	-8.11	eV/atom
energy relative to the lowest polymorph listed for this composition	3.290	eV per formula unit
formation enthalpy at 0 K	-0.34	eV per atom

Unit cell a=10.3386 b=10.3386 c=10.3386 alpha=160.60 beta=160.60 gamma=27.56
Fractional positions:
Sc1 0.0000 0.0000 0.0000
Sc2 0.7020 0.7020 0.0000
Sc3 0.2980 0.2980 0.0000
Ir1 0.8508 0.8508 0.0000
Ir2 0.5658 0.5658 0.0000
Ir3 0.4342 0.4342 0.0000
Ir4 0.1492 0.1492 0.0000

Repeat the tenth record exactly.
Density functional theory data (PBE-GGA) for crystalline NdSm2Tm5Th at its relaxed geometry.

Computed properties:
space group	I4/mcm
electronic total energy	-4.60	eV/atom
formation enthalpy at 0 K	0.29	eV per atom

Unit cell a=8.6769 b=8.6769 c=9.7767 alpha=116.34 beta=116.34 gamma=90.00
Fractional positions:
Nd1 0.2500 0.7500 0.5000
Nd2 0.7500 0.2500 0.5000
Sm1 0.1155 0.3845 0.0000
Sm2 0.6155 0.1155 0.0000
Sm3 0.3845 0.8845 0.0000
Sm4 0.8845 0.6155 0.0000
Tm1 0.9261 0.4261 0.2751
Tm2 0.6510 0.1510 0.7249
Tm3 0.0739 0.5739 0.7249
Tm4 0.1510 0.0739 0.7249
Tm5 0.5739 0.6510 0.7249
Tm6 0.8490 0.9261 0.2751
Tm7 0.4261 0.3490 0.2751
Tm8 0.3490 0.8490 0.2751
Tm9 0.5000 0.5000 0.0000
Tm10 0.0000 0.0000 0.0000
Th1 0.2500 0.2500 0.5000
Th2 0.7500 0.7500 0.5000